Entry 1:
VASP calculation (GGA-PBEsol) on crystalline FeRh2 at its relaxed geometry.

Cell lengths 4.1882, 4.1882, 5.1469 Å; angles 90.00, 90.00, 120.00 degrees
Closest atoms and distances in Å follow each position.
Sites, in units of the cell vectors:
Fe (0.3333, 0.6667, 0.2500)  5 Rh 2.42-2.57
Fe (0.6667, 0.3333, 0.7500)  5 Rh 2.42-2.57
Rh (0.0000, 0.0000, 0.0000)  8 Rh 2.57-2.74, 6 Fe 2.74
Rh (0.0000, 0.0000, 0.5000)  8 Rh 2.57-2.74, 6 Fe 2.74
Rh (0.3333, 0.6667, 0.7500)  5 Fe 2.42-2.57
Rh (0.6667, 0.3333, 0.2500)  5 Fe 2.42-2.57

Energy relative to the elements   0.089 eV/atom

=====

Entry 2:
VASP calculation (GGA-PBEsol) on crystalline Fe3Rh at its relaxed geometry.

Cell lengths 2.8682, 2.8682, 5.8061 Å; angles 90.00, 90.00, 90.00 degrees
Closest atoms and distances in Å follow each position.
Sites, in units of the cell vectors:
Fe (0.0000, 0.0000, 0.0000)  8 Fe 2.44
Fe (0.5000, 0.5000, 0.2343)  5 Fe 2.44-2.72, 4 Rh 2.55
Fe (0.5000, 0.5000, 0.7657)  5 Fe 2.44-2.72, 4 Rh 2.55
Rh (0.0000, 0.0000, 0.5000)  8 Fe 2.55

Energy relative to the elements   0.028 eV/atom

=====

Entry 3:
VASP calculation (GGA-PBEsol) on crystalline FeRh2 at its relaxed geometry.

Cell lengths 2.6093, 2.6093, 12.6393 Å; angles 90.00, 90.00, 120.00 degrees
Closest atoms and distances in Å follow each position.
Sites, in units of the cell vectors:
Fe (0.3333, 0.6667, 0.0736)  9 Fe 2.39-2.61, 3 Rh 2.55
Fe (0.6667, 0.3333, 0.9264)  9 Fe 2.39-2.61, 3 Rh 2.55
Rh (0.0000, 0.0000, 0.2360)  3 Fe 2.55, 9 Rh 2.61-2.70
Rh (0.0000, 0.0000, 0.7640)  3 Fe 2.55, 9 Rh 2.61-2.70
Rh (0.3333, 0.6667, 0.5872)  12 Rh 2.61-2.70
Rh (0.6667, 0.3333, 0.4128)  12 Rh 2.61-2.70

Energy relative to the elements   0.104 eV/atom

=====

Entry 4:
VASP calculation (GGA-PBEsol) on crystalline FeRh2 at its relaxed geometry.

Cell lengths 3.9321, 3.9321, 3.9321 Å; angles 60.00, 60.00, 60.00 degrees
Closest atoms and distances in Å follow each position.
Sites, in units of the cell vectors:
Fe (0.0000, 0.0000, 0.0000)  8 Rh 2.41
Rh (0.2500, 0.2500, 0.2500)  4 Fe 2.41
Rh (0.7500, 0.7500, 0.7500)  4 Fe 2.41

Energy relative to the elements   0.410 eV/atom

=====

Entry 5:
VASP calculation (GGA-PBEsol) on crystalline FeRh2 at its relaxed geometry.

Cell lengths 5.8659, 5.8659, 3.7356 Å; angles 90.00, 90.00, 143.46 degrees
Closest atoms and distances in Å follow each position.
Sites, in units of the cell vectors:
Fe (0.0824, 0.9176, 0.7500)  10 Rh 2.59-2.64, 2 Fe 2.62
Fe (0.9176, 0.0824, 0.2500)  10 Rh 2.59-2.64, 2 Fe 2.62
Rh (0.2499, 0.7501, 0.2500)  4 Fe 2.62-2.64, 8 Rh 2.62-2.65
Rh (0.4184, 0.5816, 0.7500)  6 Fe 2.59-2.62, 6 Rh 2.61-2.65
Rh (0.5816, 0.4184, 0.2500)  6 Fe 2.59-2.62, 6 Rh 2.61-2.65
Rh (0.7501, 0.2499, 0.7500)  4 Fe 2.62-2.64, 8 Rh 2.62-2.65

Energy relative to the elements   0.015 eV/atom

=====

Entry 6:
VASP calculation (GGA-PBEsol) on crystalline Fe5Rh at its relaxed geometry.

Cell lengths 2.5218, 4.0007, 6.9539 Å; angles 90.00, 90.12, 90.00 degrees
Closest atoms and distances in Å follow each position.
Sites, in units of the cell vectors:
Fe (0.0000, 0.0000, 0.0000)  8 Fe 2.44-2.52
Fe (0.3302, 0.5000, 0.8394)  7 Fe 2.39-2.52, 1 Rh 2.50
Fe (0.3555, 0.0000, 0.3264)  6 Fe 2.44-2.52, 2 Rh 2.50
Fe (0.6445, 0.0000, 0.6736)  6 Fe 2.44-2.52, 2 Rh 2.50
Fe (0.6698, 0.5000, 0.1606)  7 Fe 2.39-2.52, 1 Rh 2.50
Rh (0.0000, 0.5000, 0.5000)  6 Fe 2.50, 2 Rh 2.52

Offset from the most stable computed form   0.23 eV/f.u.
Energy relative to the elements   0.074 eV/atom

=====

Entry 7:
VASP calculation (GGA-PBEsol) on crystalline Fe3Rh2 at its relaxed geometry.

Cell lengths 10.5107, 10.5107, 10.5107 Å; angles 14.29, 14.29, 14.29 degrees
Closest atoms and distances in Å follow each position.
Sites, in units of the cell vectors:
Fe (0.0000, 0.0000, 0.0000)  6 Rh 2.59, 6 Fe 2.62
Fe (0.1990, 0.1990, 0.1990)  9 Fe 2.52-2.62, 3 Rh 2.58
Fe (0.8010, 0.8010, 0.8010)  9 Fe 2.52-2.62, 3 Rh 2.58
Rh (0.4008, 0.4008, 0.4008)  6 Fe 2.58-2.59, 6 Rh 2.62
Rh (0.5992, 0.5992, 0.5992)  6 Fe 2.58-2.59, 6 Rh 2.62

Offset from the most stable computed form   0.29 eV/f.u.
Energy relative to the elements   0.106 eV/atom

=====

Entry 8:
VASP calculation (GGA-PBEsol) on crystalline Fe4Rh at its relaxed geometry.

Cell lengths 7.5020, 7.5020, 7.5020 Å; angles 158.06, 158.06, 31.22 degrees
Closest atoms and distances in Å follow each position.
Sites, in units of the cell vectors:
Fe (0.1071, 0.1071, 0.0000)  4 Fe 2.44, 4 Rh 2.54
Fe (0.2978, 0.2978, 0.0000)  8 Fe 2.44-2.45
Fe (0.7022, 0.7022, 0.0000)  8 Fe 2.44-2.45
Fe (0.8929, 0.8929, 0.0000)  4 Fe 2.44, 4 Rh 2.54
Rh (0.5000, 0.5000, 0.0000)  8 Fe 2.54

Offset from the most stable computed form   0.01 eV/f.u.
Energy relative to the elements   0.034 eV/atom

=====

Entry 9:
VASP calculation (GGA-PBEsol) on crystalline FeRh at its relaxed geometry.

Cell lengths 4.5317, 4.5317, 4.5317 Å; angles 132.72, 132.72, 69.09 degrees
Closest atoms and distances in Å follow each position.
Sites, in units of the cell vectors:
Fe (0.3750, 0.6250, 0.7500)  8 Rh 2.57-2.60, 4 Fe 2.60
Fe (0.6250, 0.3750, 0.2500)  8 Rh 2.57-2.60, 4 Fe 2.60
Rh (0.1250, 0.8750, 0.2500)  8 Fe 2.57-2.60, 4 Rh 2.60
Rh (0.8750, 0.1250, 0.7500)  8 Fe 2.57-2.60, 4 Rh 2.60

Energy relative to the elements   0.038 eV/atom

=====

Entry 10:
VASP calculation (GGA-PBEsol) on crystalline FeRh at its relaxed geometry.

Cell lengths 2.9597, 2.9597, 2.9597 Å; angles 90.00, 90.00, 90.00 degrees
Closest atoms and distances in Å follow each position.
Sites, in units of the cell vectors:
Fe (0.0000, 0.0000, 0.0000)  8 Rh 2.56
Rh (0.5000, 0.5000, 0.5000)  8 Fe 2.56

Energy relative to the elements   0.045 eV/atom

=====

Entry 11:
VASP calculation (GGA-PBEsol) on crystalline Fe4Rh at its relaxed geometry.

Cell lengths 4.7642, 4.7642, 4.7642 Å; angles 50.41, 50.41, 50.41 degrees
Closest atoms and distances in Å follow each position.
Sites, in units of the cell vectors:
Fe (0.0965, 0.0965, 0.0965)  5 Fe 2.40-2.52, 3 Rh 2.50
Fe (0.2989, 0.2989, 0.2989)  7 Fe 2.47-2.52, 1 Rh 2.50
Fe (0.7011, 0.7011, 0.7011)  7 Fe 2.47-2.52, 1 Rh 2.50
Fe (0.9035, 0.9035, 0.9035)  5 Fe 2.40-2.52, 3 Rh 2.50
Rh (0.5000, 0.5000, 0.5000)  8 Fe 2.50

Offset from the most stable computed form   0.08 eV/f.u.
Energy relative to the elements   0.048 eV/atom

=====

Entry 12:
VASP calculation (GGA-PBEsol) on crystalline FeRh2 at its relaxed geometry.

Cell lengths 5.0147, 5.0147, 7.0783 Å; angles 120.96, 120.96, 30.48 degrees
Closest atoms and distances in Å follow each position.
Sites, in units of the cell vectors:
Fe (0.1244, 0.1244, 0.1624)  1 Fe 2.28, 3 Rh 2.48-2.54
Fe (0.8756, 0.8756, 0.8376)  1 Fe 2.28, 3 Rh 2.48-2.54
Rh (0.1401, 0.1401, 0.5240)  3 Fe 2.48-2.54, 9 Rh 2.55-2.76
Rh (0.3896, 0.3896, 0.1598)  5 Fe 2.57-2.62, 8 Rh 2.64-2.76
Rh (0.6104, 0.6104, 0.8402)  5 Fe 2.57-2.62, 8 Rh 2.64-2.76
Rh (0.8599, 0.8599, 0.4760)  3 Fe 2.48-2.54, 9 Rh 2.55-2.76

Energy relative to the elements   0.049 eV/atom

=====

Computed final energy (eV for the cell shown) in order:
-49.946, -34.917, -49.857, -24.010, -50.388, -52.513, -42.639, -43.820, -34.051, -17.011, -43.752, -50.187
Computed ρ (g/cm3) in order:
11.11, 9.40, 11.66, 10.11, 11.36, 9.04, 10.06, 9.20, 10.70, 10.17, 9.16, 11.38